This record from Alexandria describes a geometry-optimized CrSnPb2O6 structure. The functional is PBE with a Hubbard U.

```
data_CrSnPb2O6
_chemical_formula_sum 'Cr2 Sn2 Pb4 O12'
_symmetry_space_group_name_H-M 'P 1 21/c 1'
_symmetry_Int_Tables_number 14
_symmetry_space_group_name_Hall '-P 2ybc'
_cell_length_a 5.666
_cell_length_b 5.731
_cell_length_c 9.840
_cell_angle_alpha 90.00
_cell_angle_beta 125.08
_cell_angle_gamma 90.00
loop_
_atom_site_label
_atom_site_type_symbol
_atom_site_fract_x
_atom_site_fract_y
_atom_site_fract_z
_atom_site_occupancy
Cr1 Cr 0.000 0.000 0.000 1
Sn1 Sn 0.500 0.000 0.500 1
Pb1 Pb 0.244 0.035 0.750 1
O1 O 0.164 0.214 0.460 1
O2 O 0.247 0.706 0.461 1
O3 O 0.323 0.022 0.245 1
```

Values from the calculation:
Calculated total energy: -6.238 eV per atom
DOS(E_F): 3.54 states/eV/f.u.